First-principles (PBE) data for a geometry-optimized RbBaCa2Ni structure, as listed in Alexandria via LeMat-Bulk.

Cell: 5.8692 5.8692 6.1661 Å, 90.00 90.00 90.00°
Space group P4/mmm (No. 123)
Symmetry-distinct sites (fractional):
Rb: 0.0000 0.0000 0.0000 (multiplicity 1)
Ba: 0.5000 0.5000 0.0000 (multiplicity 1)
Ca: 0.0000 0.5000 0.5000 (multiplicity 2)
Ni: 0.5000 0.5000 0.5000 (multiplicity 1)

energy relative to the elements = 32 kJ/mol of formula units
crystal system = tetragonal

First-principles (PBE) data for a geometry-optimized Li3Al structure, as listed in Alexandria via LeMat-Bulk.

Cell: 4.1084 4.1084 4.1084 Å, 90.00 90.00 90.00°
Space group Pm-3m (No. 221)
Symmetry-distinct sites (fractional):
Li: 0.0000 0.0000 0.5000 (multiplicity 3)
Al: 0.5000 0.5000 0.5000 (multiplicity 1)

energy relative to the elements = -10 kJ/mol of formula units
crystal system = cubic

First-principles (PBE) data for a geometry-optimized Er3OsC3 structure, as listed in Alexandria via LeMat-Bulk.

Cell: 8.6111 10.3234 5.0435 Å, 90.00 90.00 90.00°
Space group Cmcm (No. 63)
Symmetry-distinct sites (fractional):
Er: 0.0000 0.1081 0.2500 (multiplicity 4)
Er: 0.2148 0.3802 0.2500 (multiplicity 8)
Os: 0.0000 0.3080 0.7500 (multiplicity 4)
C: 0.0000 0.1204 0.7500 (multiplicity 4)
C: 0.2097 0.3751 0.7500 (multiplicity 8)

energy relative to the elements = -264 kJ/mol of formula units
crystal system = orthorhombic

First-principles (PBE) data for a geometry-optimized HoFeC structure, as listed in Alexandria via LeMat-Bulk.

Cell: 5.4343 3.2391 5.4672 Å, 90.00 108.87 90.00°
Space group P2_1/m (No. 11)
Symmetry-distinct sites (fractional):
Ho: 0.2085 0.2500 0.3312 (multiplicity 2)
Fe: 0.3587 0.7500 0.8542 (multiplicity 2)
C: 0.4991 0.2500 0.7756 (multiplicity 2)

distance to the lowest polymorph of the same formula = 22 meV per atom
energy relative to the elements = -47 kJ/mol of formula units
crystal system = monoclinic

First-principles (PBE) data for a geometry-optimized Ac2YPaN5 structure, as listed in Alexandria via LeMat-Bulk.

Cell: 4.2285 4.2285 9.2405 Å, 90.00 90.00 90.00°
Space group P4/mmm (No. 123)
Symmetry-distinct sites (fractional):
Ac: 0.0000 0.0000 0.2300 (multiplicity 2)
Y: 0.5000 0.5000 0.5000 (multiplicity 1)
Pa: 0.5000 0.5000 0.0000 (multiplicity 1)
N: 0.0000 0.0000 0.5000 (multiplicity 1)
N: 0.0000 0.5000 0.0000 (multiplicity 2)
N: 0.5000 0.5000 0.2555 (multiplicity 2)

formation energy (no corrections) = -1.1379 eV/atom
crystal system = tetragonal

First-principles (PBE) data for a geometry-optimized YBi2F8 structure, as listed in Alexandria via LeMat-Bulk.

Cell: 15.9294 3.8873 5.3583 Å, 90.00 105.00 90.00°
Space group C2/m (No. 12)
Symmetry-distinct sites (fractional):
Y: 0.0000 0.0000 0.0000 (multiplicity 2)
Bi: 0.1669 0.5000 0.6679 (multiplicity 4)
F: 0.0260 0.5000 0.7973 (multiplicity 4)
F: 0.0963 0.0000 0.4003 (multiplicity 4)
F: 0.1347 0.0000 0.9175 (multiplicity 4)
F: 0.2335 0.5000 0.3196 (multiplicity 4)

formation energy (no corrections) = -2.8303 eV/atom
crystal system = monoclinic